(1)
Density functional theory data (PBE) for LaIr3Au after structural relaxation.

a b c (Å): 4.9162 4.9162 4.9162
angles (deg): 90.00 90.00 90.00
Each line ends with the local moment (μB).
Sites, in units of the cell vectors:
Au1 0.0000 0.0000 0.0000  0.08
Ir1 0.5000 0.0000 0.0000  0.27
Ir2 0.0000 0.5000 0.0000  0.46
Ir3 0.0000 0.0000 0.5000  0.63
La1 0.5000 0.5000 0.5000  -0.03

Calculated values
Space-group type ... Pm-3m (221)
Formation energy from the elements ... 1.113 eV/atom
Excess energy over the best structure of this formula in the dataset ... 0.0 meV per atom

(2)
Density functional theory data (PBE) for La6Ir4Au after structural relaxation.

a b c (Å): 5.9609 5.9609 9.2168
angles (deg): 109.00 108.99 89.86
Sites, in units of the cell vectors:
Ir1 0.1085 0.1085 0.7241
Ir2 0.8929 0.3834 0.2768
Ir3 0.3833 0.8929 0.2768
Ir4 0.6160 0.6160 0.7232
La1 0.5005 0.9990 0.9996
La2 0.5658 0.0759 0.6416
La3 0.9990 0.5004 0.9996
La4 0.9238 0.9238 0.3586
La5 0.0759 0.5658 0.6416
La6 0.4340 0.4340 0.3583
Au1 0.0006 0.0006 0.9998

Calculated values
Space-group type ... Cm (8)
Formation energy from the elements ... -0.639 eV/atom

(3)
Density functional theory data (PBE) for La6IrAu after structural relaxation.

a b c (Å): 7.0602 7.0646 7.9489
angles (deg): 63.66 63.68 60.03
Sites, in units of the cell vectors:
Au1 0.5000 0.5000 0.5000
La1 0.0624 0.4169 0.7559
La2 0.7642 0.0621 0.7560
La3 0.9376 0.5831 0.2441
La4 0.2358 0.9379 0.2440
La5 0.5832 0.2354 0.2440
La6 0.4168 0.7646 0.7560
Ir1 0.0000 0.0000 0.0000

Calculated values
Space-group type ... P-1 (2)
Formation energy from the elements ... -0.336 eV/atom

(4)
Density functional theory data (PBE) for La2IrAu2 after structural relaxation.

a b c (Å): 5.7816 5.7816 5.7162
angles (deg): 59.62 59.62 90.00
Sites, in units of the cell vectors:
Au1 0.6618 0.6618 0.6764
Au2 0.3382 0.3382 0.3236
Ir1 0.0000 0.0000 0.0000
La1 0.2500 0.7500 0.5000
La2 0.7500 0.2500 0.5000

Calculated values
Space-group type ... I4/mmm (139)
Formation energy from the elements ... -0.377 eV/atom
Excess energy over the best structure of this formula in the dataset ... 141.1 meV per atom

(5)
Density functional theory data (PBE) for LaIrAu2 after structural relaxation.

a b c (Å): 4.9212 4.9212 4.9212
angles (deg): 60.00 60.00 60.00
Sites, in units of the cell vectors:
Au1 0.7500 0.7500 0.7500
Au2 0.2500 0.2500 0.2500
La1 0.0000 0.0000 0.0000
Ir1 0.5000 0.5000 0.5000

Calculated values
Space-group type ... Fm-3m (225)
Formation energy from the elements ... -0.250 eV/atom
Excess energy over the best structure of this formula in the dataset ... 176.2 meV per atom

(6)
Density functional theory data (PBE) for LaIrAu2 after structural relaxation.

a b c (Å): 3.5473 3.9155 6.0539
angles (deg): 90.00 90.00 90.00
Sites, in units of the cell vectors:
La1 0.5000 0.5000 0.7313
Au1 0.5000 0.5000 0.2460
Au2 0.0000 0.0000 0.0294
Ir1 0.0000 0.0000 0.4933

Calculated values
Space-group type ... Pmm2 (25)
Formation energy from the elements ... -0.267 eV/atom
Excess energy over the best structure of this formula in the dataset ... 158.7 meV per atom

(7)
Density functional theory data (PBE) for LaIr2Au after structural relaxation.

a b c (Å): 4.8083 4.8083 4.8083
angles (deg): 60.00 60.00 60.00
Sites, in units of the cell vectors:
Ir1 0.0000 0.0000 0.0000
Ir2 0.2500 0.2500 0.2500
Au1 0.5000 0.5000 0.5000
La1 0.7500 0.7500 0.7500

Calculated values
Space-group type ... F-43m (216)
Formation energy from the elements ... 0.085 eV/atom
Excess energy over the best structure of this formula in the dataset ... 294.7 meV per atom

(8)
Density functional theory data (PBE) for LaIr2Au after structural relaxation.

a b c (Å): 4.1136 2.9462 6.8991
angles (deg): 77.33 90.00 90.00
Sites, in units of the cell vectors:
La1 0.0000 0.5188 0.4891
Au1 0.5000 0.8708 0.7750
Ir1 0.0000 0.8390 0.0660
Ir2 0.5000 0.2714 0.1699

Calculated values
Space-group type ... Pm (6)
Formation energy from the elements ... -0.106 eV/atom
Excess energy over the best structure of this formula in the dataset ... 103.7 meV per atom

(9)
Density functional theory data (PBE) for LaIr2Au after structural relaxation.

a b c (Å): 5.0948 5.0948 5.2831
angles (deg): 77.60 77.60 36.24
Sites, in units of the cell vectors:
Ir1 0.9945 0.9945 0.0485
Ir2 0.5055 0.5055 0.4515
Au1 0.2500 0.2500 0.2500
La1 0.7500 0.7500 0.7500

Calculated values
Space-group type ... C2/m (12)
Formation energy from the elements ... -0.007 eV/atom
Excess energy over the best structure of this formula in the dataset ... 202.5 meV per atom

(10)
Density functional theory data (PBE) for LaIrAu after structural relaxation.

a b c (Å): 5.4635 5.4636 3.7134
angles (deg): 70.13 70.13 39.73
Sites, in units of the cell vectors:
Au1 0.0129 0.0129 0.9871
La1 0.3255 0.3255 0.6745
Ir1 0.6616 0.6616 0.3384

Calculated values
Space-group type ... I4mm (107)
Formation energy from the elements ... -0.299 eV/atom
Excess energy over the best structure of this formula in the dataset ... 321.9 meV per atom

(11)
Density functional theory data (PBE) for LaIrAu2 after structural relaxation.

a b c (Å): 4.8115 3.5377 5.3194
angles (deg): 75.09 90.00 90.00
Sites, in units of the cell vectors:
La1 0.5000 0.7500 0.7500
Ir1 0.5000 0.2500 0.2500
Au1 0.0000 0.3742 0.4779
Au2 0.0000 0.1258 0.0221

Calculated values
Space-group type ... P2/m (10)
Formation energy from the elements ... -0.293 eV/atom
Excess energy over the best structure of this formula in the dataset ... 133.3 meV per atom

(12)
Density functional theory data (PBE) for La3IrAu2 after structural relaxation.

a b c (Å): 7.5073 7.5645 7.4586
angles (deg): 80.66 59.78 71.18
Sites, in units of the cell vectors:
La1 0.9219 0.2333 0.6447
La2 0.7179 0.7804 0.0000
La3 0.4335 0.7667 0.6447
La4 0.5665 0.2333 0.3553
La5 0.0781 0.7667 0.3553
La6 0.2821 0.2196 0.0000
Au1 0.0000 0.0000 0.0000
Au2 0.5000 0.5000 0.0000
Au3 0.8471 0.5000 0.3057
Au4 0.1529 0.5000 0.6943
Ir1 0.6691 0.0000 0.6618
Ir2 0.3309 0.0000 0.3382

Calculated values
Space-group type ... C2/m (12)
Formation energy from the elements ... -0.801 eV/atom

(13)
Density functional theory data (PBE) for La2IrAu2 after structural relaxation.

a b c (Å): 7.6397 7.6397 4.1841
angles (deg): 90.00 90.00 90.00
Sites, in units of the cell vectors:
Ir1 0.0000 0.0000 0.0000
Ir2 0.5000 0.5000 0.0000
Au1 0.6300 0.1300 0.0000
Au2 0.1300 0.3700 0.0000
Au3 0.8700 0.6300 0.0000
Au4 0.3700 0.8700 0.0000
La1 0.3201 0.1799 0.5000
La2 0.6799 0.8201 0.5000
La3 0.8201 0.3201 0.5000
La4 0.1799 0.6799 0.5000

Calculated values
Space-group type ... P4/mbm (127)
Formation energy from the elements ... -0.518 eV/atom
Excess energy over the best structure of this formula in the dataset ... 0.0 meV per atom

(14)
Density functional theory data (PBE) for LaIr2Au after structural relaxation.

a b c (Å): 5.7328 5.7328 5.0507
angles (deg): 62.55 62.55 32.09
Sites, in units of the cell vectors:
Ir1 0.0173 0.0173 0.9125
Ir2 0.7229 0.7229 0.8537
La1 0.4905 0.4905 0.4606
Au1 0.2694 0.2694 0.2732

Calculated values
Space-group type ... Cm (8)
Formation energy from the elements ... -0.096 eV/atom
Excess energy over the best structure of this formula in the dataset ... 113.8 meV per atom

(15)
Density functional theory data (PBE) for LaIrAu2 after structural relaxation.

a b c (Å): 5.4996 5.4996 5.4996
angles (deg): 50.34 50.34 50.34
Sites, in units of the cell vectors:
La1 0.7549 0.7549 0.7549
Au1 0.2183 0.2183 0.2183
Au2 0.9676 0.9676 0.9676
Ir1 0.5592 0.5592 0.5592

Calculated values
Space-group type ... R3m (160)
Formation energy from the elements ... -0.410 eV/atom
Excess energy over the best structure of this formula in the dataset ... 16.2 meV per atom

(16)
Density functional theory data (PBE) for La2Ir2Au after structural relaxation.

a b c (Å): 5.5679 5.5679 5.6611
angles (deg): 60.54 60.54 90.00
Sites, in units of the cell vectors:
La1 0.2500 0.7500 0.5000
La2 0.7500 0.2500 0.5000
Ir1 0.3386 0.3386 0.3229
Ir2 0.6614 0.6614 0.6771
Au1 0.0000 0.0000 0.0000

Calculated values
Space-group type ... I4/mmm (139)
Formation energy from the elements ... -0.498 eV/atom
Excess energy over the best structure of this formula in the dataset ... 121.2 meV per atom

(17)
Density functional theory data (PBE) for LaIr2Au after structural relaxation.

a b c (Å): 5.1537 5.1537 5.1537
angles (deg): 130.79 130.83 72.12
Sites, in units of the cell vectors:
Ir1 0.9999 0.9999 0.0000
Ir2 0.5001 0.5001 0.0000
Au1 0.2500 0.7500 0.5000
La1 0.7500 0.2500 0.5000

Calculated values
Space-group type ... I4/mmm (139)
Formation energy from the elements ... -0.058 eV/atom
Excess energy over the best structure of this formula in the dataset ... 152.3 meV per atom

(18)
Density functional theory data (PBE) for LaIrAu2 after structural relaxation.

a b c (Å): 4.0025 4.0063 5.8343
angles (deg): 69.97 90.00 90.00
Sites, in units of the cell vectors:
Au1 0.5000 0.4561 0.2132
Au2 0.0000 0.0313 0.0636
La1 0.5000 0.7282 0.6684
Ir1 0.0000 0.2844 0.5548

Calculated values
Space-group type ... Pm (6)
Formation energy from the elements ... -0.377 eV/atom
Excess energy over the best structure of this formula in the dataset ... 48.6 meV per atom

(19)
Density functional theory data (PBE) for La4Ir2Au5 after structural relaxation.

a b c (Å): 3.9582 7.5259 9.0956
angles (deg): 93.05 90.00 90.00
Sites, in units of the cell vectors:
La1 0.5000 0.7960 0.1464
La2 0.5000 0.7673 0.5856
La3 0.5000 0.2040 0.8536
La4 0.5000 0.2327 0.4144
Ir1 0.0000 0.0650 0.6445
Ir2 0.0000 0.9350 0.3555
Au1 0.0000 0.4462 0.6595
Au2 0.0000 0.5000 0.0000
Au3 0.0000 0.5538 0.3405
Au4 0.0000 0.8303 0.8692
Au5 0.0000 0.1697 0.1308

Calculated values
Space-group type ... P2/m (10)
Formation energy from the elements ... -0.753 eV/atom

(20)
Density functional theory data (PBE) for LaIrAu after structural relaxation.

a b c (Å): 3.0468 3.0468 7.5750
angles (deg): 90.00 90.00 120.00
Sites, in units of the cell vectors:
Ir1 0.6667 0.3333 0.3306
Au1 0.0000 0.0000 0.0205
La1 0.3333 0.6667 0.6489

Calculated values
Space-group type ... P3m1 (156)
Formation energy from the elements ... 0.218 eV/atom
Excess energy over the best structure of this formula in the dataset ... 838.1 meV per atom